Record 1
{
  "formula": "NaZrIO6",
  "functional": "PBE",
  "state": "optimized geometry",
  "lattice": [[4.932, 0.000, 0.000], [0.000, 4.932, 0.000], [0.000, 0.000, 9.557]],
  "species": ["Na", "Na", "Zr", "Zr", "I", "I", "O", "O", "O", "O", "O", "O", "O", "O", "O", "O", "O", "O"],
  "fractional_positions": [[0.500, 0.500, 0.500], [0.000, 0.000, 0.000], [0.500, 0.500, 0.174], [0.000, 0.000, 0.674], [0.500, 0.500, 0.832], [0.000, 0.000, 0.332], [0.175, 0.825, 0.485], [0.825, 0.175, 0.485], [0.325, 0.325, 0.985], [0.675, 0.675, 0.985], [0.196, 0.804, 0.194], [0.804, 0.196, 0.194], [0.304, 0.304, 0.694], [0.696, 0.696, 0.694], [0.773, 0.227, 0.817], [0.227, 0.773, 0.817], [0.727, 0.727, 0.317], [0.273, 0.273, 0.317]],
  "magmom_total_mub_per_fu": 0.000,
  "raw_formation_energy_mev_per_atom": -1532
}

Record 2
{
  "formula": "NaZr2IO8",
  "functional": "PBE",
  "state": "optimized geometry",
  "lattice": [[4.837, 0.042, -0.003], [0.079, 4.834, -0.005], [0.004, 0.007, 6.659]],
  "species": ["Na", "Zr", "Zr", "I", "O", "O", "O", "O", "O", "O", "O", "O"],
  "fractional_positions": [[0.000, 0.000, 0.500], [0.500, 0.500, 0.736], [0.500, 0.500, 0.264], [0.000, 0.000, 0.000], [0.192, 0.807, 0.206], [0.721, 0.722, 0.000], [0.808, 0.193, 0.206], [0.808, 0.193, 0.794], [0.279, 0.278, 0.000], [0.192, 0.807, 0.794], [0.682, 0.683, 0.500], [0.318, 0.317, 0.500]],
  "magmom_total_mub_per_fu": 0.000,
  "raw_formation_energy_mev_per_atom": -1938
}

Record 3
{
  "formula": "NaZrIO5",
  "functional": "PBE",
  "state": "optimized geometry",
  "lattice": [[-0.594, -1.265, -5.732], [5.698, 1.494, -0.338], [-0.729, -7.028, 4.444]],
  "species": ["Na", "Na", "Zr", "Zr", "I", "I", "O", "O", "O", "O", "O", "O", "O", "O", "O", "O"],
  "fractional_positions": [[0.310, 0.690, 0.250], [0.690, 0.310, 0.750], [0.000, 0.000, 0.500], [0.000, 0.000, 0.000], [0.697, 0.303, 0.250], [0.303, 0.697, 0.750], [0.007, 0.993, 0.250], [0.993, 0.007, 0.750], [0.802, 0.285, 0.036], [0.198, 0.715, 0.964], [0.715, 0.198, 0.464], [0.285, 0.802, 0.536], [0.732, 0.644, 0.360], [0.268, 0.356, 0.640], [0.356, 0.268, 0.140], [0.644, 0.732, 0.860]],
  "magmom_total_mub_per_fu": 0.000,
  "raw_formation_energy_mev_per_atom": -1630
}

Record 4
{
  "formula": "NaZr2IO",
  "functional": "PBE",
  "state": "optimized geometry",
  "lattice": [[5.571, 0.000, 0.000], [0.000, 4.175, 0.000], [0.000, 0.000, 5.571]],
  "species": ["I", "Na", "O", "Zr", "Zr"],
  "fractional_positions": [[0.000, 0.000, 0.000], [0.500, 0.500, 0.500], [0.000, 0.500, 0.000], [0.000, 0.000, 0.500], [0.500, 0.000, 0.000]],
  "relative_energy_ev_per_atom": 0.000,
  "magmom_total_mub_per_fu": 0.000,
  "raw_formation_energy_mev_per_atom": 768
}

Record 5
{
  "formula": "Na2ZrIO6",
  "functional": "PBE",
  "state": "optimized geometry",
  "lattice": [[-5.371, -0.540, 1.696], [-1.536, -4.433, 3.163], [-1.325, 0.762, 5.487]],
  "species": ["Na", "Na", "Zr", "I", "O", "O", "O", "O", "O", "O"],
  "fractional_positions": [[0.565, 0.564, 0.307], [0.067, 0.067, 0.800], [0.816, 0.816, 0.552], [0.316, 0.316, 0.051], [0.558, 0.152, 0.295], [0.152, 0.994, 0.296], [0.994, 0.558, 0.296], [0.480, 0.638, 0.806], [0.638, 0.075, 0.806], [0.075, 0.480, 0.807]],
  "magmom_total_mub_per_fu": 0.000,
  "raw_formation_energy_mev_per_atom": -1633
}

Record 6
{
  "formula": "NaZr2IO",
  "functional": "PBE",
  "state": "optimized geometry",
  "lattice": [[-3.230, -3.071, -2.839], [0.326, -3.869, 3.815], [-4.170, 2.094, 2.479]],
  "species": ["I", "Na", "O", "Zr", "Zr"],
  "fractional_positions": [[0.000, 0.000, 0.000], [0.000, 0.500, 0.000], [0.500, 0.500, 0.500], [0.000, 0.000, 0.500], [0.500, 0.000, 0.000]],
  "relative_energy_ev_per_atom": 0.405,
  "magmom_total_mub_per_fu": 0.000,
  "raw_formation_energy_mev_per_atom": 1173
}